--- A ---
# IrOs2Cl

An optimized crystal structure of IrOs2Cl (PBE, Alexandria).

POSCAR file:
```
IrOs2Cl
1.0
2.7776 0.0000 0.0000
0.0000 3.7344 0.0000
0.0000 0.0000 6.2542
Ir Os Cl
1 2 1
Direct
0.0000 0.0000 0.0000
0.5000 0.5000 0.2045
0.5000 0.5000 0.7955
0.5000 0.0000 0.5000
```

size of the total moment = 0.000 μB/atom
crystal system = orthorhombic
DOS at the Fermi energy = 0.78 states/eV per atom

---

--- B ---
# IrOs2Cl

An optimized crystal structure of IrOs2Cl (PBE, Alexandria).

POSCAR file:
```
IrOs2Cl
1.0
1.4027 0.8099 8.6703
-1.4027 0.8099 8.6703
0.0000 -1.6198 8.6703
Ir Os Cl
1 2 1
Direct
0.0000 0.0000 0.0000
0.2505 0.2505 0.2505
0.7495 0.7495 0.7495
0.5000 0.5000 0.5000
```

size of the total moment = 0.000 μB/atom
crystal system = trigonal
DOS at the Fermi energy = 0.87 states/eV per atom

---

Of them, B has the highest stability.

---

--- A ---
# IrOs2Cl

An optimized crystal structure of IrOs2Cl (PBE, Alexandria).

POSCAR file:
```
IrOs2Cl
1.0
1.4103 0.8142 8.6735
-1.4103 0.8142 8.6735
0.0000 -1.6285 8.6735
Ir Os Cl
1 2 1
Direct
0.0000 0.0000 0.0000
0.4960 0.4960 0.4960
0.7488 0.7488 0.7488
0.2437 0.2437 0.2437
```

size of the total moment = 0.000 μB/atom
crystal system = trigonal
DOS at the Fermi energy = 0.97 states/eV per atom

---

--- B ---
# IrOs2Cl

An optimized crystal structure of IrOs2Cl (PBE, Alexandria).

POSCAR file:
```
IrOs2Cl
1.0
2.7884 0.0000 0.0000
0.0000 3.6091 0.0000
0.0000 0.0000 6.7190
Ir Os Cl
1 2 1
Direct
0.0000 0.0000 0.0000
0.0000 0.0000 0.6077
0.5000 0.5000 0.7943
0.0000 0.5000 0.3233
```

size of the total moment = 0.000 μB/atom
crystal system = orthorhombic
DOS at the Fermi energy = 0.69 states/eV per atom

---

--- C ---
# IrOs2Cl

An optimized crystal structure of IrOs2Cl (PBE, Alexandria).

POSCAR file:
```
IrOs2Cl
1.0
1.3594 -2.4549 0.0000
1.3594 2.4549 0.0000
0.0000 0.0000 9.1102
Ir Os Cl
1 2 1
Direct
0.0000 0.0000 0.0000
0.5000 0.5000 0.2523
0.5000 0.5000 0.7477
0.0000 0.0000 0.5000
```

size of the total moment = 0.000 μB/atom
crystal system = orthorhombic
DOS at the Fermi energy = 1.40 states/eV per atom

---

Of them, A has the highest stability.

---

--- A ---
# IrOs2Cl

An optimized crystal structure of IrOs2Cl (PBE, Alexandria).

POSCAR file:
```
IrOs2Cl
1.0
4.3918 -1.3953 0.0000
4.3918 1.3953 0.0000
-4.2817 0.0000 6.4180
Ir Os Cl
1 2 1
Direct
0.0000 0.0000 0.0000
0.2017 0.2017 0.8388
0.7983 0.7983 0.1612
0.5000 0.5000 0.5000
```

size of the total moment = 0.000 μB/atom
crystal system = monoclinic
DOS at the Fermi energy = 1.16 states/eV per atom

---

--- B ---
# IrOs2Cl

An optimized crystal structure of IrOs2Cl (PBE, Alexandria).

POSCAR file:
```
IrOs2Cl
1.0
2.7416 0.0000 0.0000
0.0000 4.6875 0.0000
0.0000 0.0000 4.7164
Ir Os Cl
1 2 1
Direct
0.0000 0.0000 0.0000
0.0000 0.5000 0.5000
0.5000 0.5000 0.0000
0.5000 0.0000 0.5000
```

size of the total moment = 0.000 μB/atom
crystal system = orthorhombic
DOS at the Fermi energy = 1.41 states/eV per atom

---

Of them, A has the highest stability.

---

--- A ---
# IrOs2Cl

An optimized crystal structure of IrOs2Cl (PBE, Alexandria).

POSCAR file:
```
IrOs2Cl
1.0
2.7820 0.0000 0.0000
0.0000 2.7820 0.0000
0.0000 0.0000 7.7742
Ir Os Cl
1 2 1
Direct
0.0000 0.0000 0.0000
0.5000 0.5000 0.2392
0.5000 0.5000 0.7608
0.0000 0.0000 0.5000
```

size of the total moment = 0.000 μB/atom
crystal system = tetragonal
DOS at the Fermi energy = 1.55 states/eV per atom

---

--- B ---
# IrOs2Cl

An optimized crystal structure of IrOs2Cl (PBE, Alexandria).

POSCAR file:
```
IrOs2Cl
1.0
-2.9873 2.9873 4.4656
2.9873 -2.9873 4.4656
2.9873 2.9873 -4.4656
Ir Os Cl
2 4 2
Direct
0.0000 0.0000 0.0000
0.7500 0.2500 0.5000
0.1261 0.6250 0.0011
0.3750 0.3761 0.5011
0.6239 0.1250 0.9989
0.8750 0.8739 0.4989
0.2500 0.7500 0.5000
0.5000 0.5000 0.0000
```

size of the total moment = 0.000 μB/atom
crystal system = tetragonal
DOS at the Fermi energy = 0.87 states/eV per atom

---

Of them, A has the highest stability.

---

--- A ---
# Ir2OsCl

An optimized crystal structure of Ir2OsCl (PBE, Alexandria).

POSCAR file:
```
Ir2OsCl
1.0
2.7384 0.0000 0.0000
0.0000 4.7090 0.0000
0.0000 0.0000 4.7117
Ir Os Cl
2 1 1
Direct
0.0000 0.0000 0.0000
0.5000 0.5000 0.0000
0.0000 0.5000 0.5000
0.5000 0.0000 0.5000
```

size of the total moment = 0.003 μB/atom
crystal system = orthorhombic
DOS at the Fermi energy = 1.55 states/eV per atom

---

--- B ---
# Ir2OsCl

An optimized crystal structure of Ir2OsCl (PBE, Alexandria).

POSCAR file:
```
Ir2OsCl
1.0
2.7754 -3.9604 0.0000
2.7754 3.9604 0.0000
0.0000 0.0000 2.7377
Ir Os Cl
2 1 1
Direct
0.0000 0.5000 0.0000
0.5000 0.0000 0.0000
0.0000 0.0000 0.5000
0.5000 0.5000 0.5000
```

size of the total moment = 0.000 μB/atom
crystal system = orthorhombic
DOS at the Fermi energy = 1.38 states/eV per atom

---

Of them, B has the highest stability.

---

--- A ---
# Ir2OsCl

An optimized crystal structure of Ir2OsCl (PBE, Alexandria).

POSCAR file:
```
Ir2OsCl
1.0
4.8612 -1.3996 0.0000
4.8612 1.3996 0.0000
-0.1334 0.0000 4.4491
Ir Os Cl
2 1 1
Direct
0.2212 0.2212 0.2402
0.7788 0.7788 0.7598
0.5000 0.5000 0.0000
0.0000 0.0000 0.5000
```

size of the total moment = 0.000 μB/atom
crystal system = monoclinic
DOS at the Fermi energy = 0.89 states/eV per atom

---

--- B ---
# Ir2OsCl

An optimized crystal structure of Ir2OsCl (PBE, Alexandria).

POSCAR file:
```
Ir2OsCl
1.0
1.3689 -2.4615 0.0000
1.3689 2.4615 0.0000
0.0000 0.0000 9.1639
Ir Os Cl
2 1 1
Direct
0.0000 0.0000 0.2454
0.0000 0.0000 0.7546
0.5000 0.5000 0.0000
0.5000 0.5000 0.5000
```

size of the total moment = 0.170 μB/atom
crystal system = orthorhombic
DOS at the Fermi energy = 1.24 states/eV per atom

---

Of them, B has the highest stability.

---

--- A ---
# Ir3OsCl

An optimized crystal structure of Ir3OsCl (PBE, Alexandria).

POSCAR file:
```
Ir3OsCl
1.0
4.7781 0.0000 0.0000
0.0000 4.7781 0.0000
0.0000 0.0000 4.7781
Ir Os Cl
3 1 1
Direct
0.0000 0.0000 0.5000
0.0000 0.5000 0.0000
0.5000 0.0000 0.0000
0.0000 0.0000 0.0000
0.5000 0.5000 0.5000
```

size of the total moment = 0.000 μB/atom
crystal system = cubic
DOS at the Fermi energy = 2.19 states/eV per atom

---

--- B ---
# Ir3OsCl

An optimized crystal structure of Ir3OsCl (PBE, Alexandria).

POSCAR file:
```
Ir3OsCl
1.0
4.3682 0.0000 0.0000
0.0000 4.3682 0.0000
0.0000 0.0000 4.3682
Ir Os Cl
3 1 1
Direct
0.0000 0.0000 0.5000
0.0000 0.5000 0.0000
0.5000 0.0000 0.0000
0.5000 0.5000 0.5000
0.0000 0.0000 0.0000
```

size of the total moment = 0.471 μB/atom
crystal system = cubic
DOS at the Fermi energy = 1.34 states/eV per atom

---

Of them, A has the highest stability.

---

--- A ---
# PIrOsCl2

An optimized crystal structure of PIrOsCl2 (PBE, Alexandria).

POSCAR file:
```
PIrOsCl2
1.0
4.8400 0.0000 0.0000
0.0000 4.8400 0.0000
0.0000 0.0000 4.5714
P Ir Os Cl
1 1 1 2
Direct
0.0000 0.0000 0.0000
0.0000 0.0000 0.5000
0.5000 0.5000 0.0000
0.0000 0.5000 0.5000
0.5000 0.0000 0.5000
```

size of the total moment = 0.759 μB/atom
crystal system = tetragonal
DOS at the Fermi energy = 0.64 states/eV per atom

---

--- B ---
# PIrOsCl2

An optimized crystal structure of PIrOsCl2 (PBE, Alexandria).

POSCAR file:
```
PIrOsCl2
1.0
4.7765 0.0000 0.0000
0.0000 4.7765 0.0000
0.0000 0.0000 4.5400
P Ir Os Cl
1 1 1 2
Direct
0.0000 0.0000 0.0000
0.5000 0.5000 0.0000
0.0000 0.0000 0.5000
0.0000 0.5000 0.5000
0.5000 0.0000 0.5000
```

size of the total moment = 0.430 μB/atom
crystal system = tetragonal
DOS at the Fermi energy = 1.60 states/eV per atom

---

Of them, B has the highest stability.

---

--- A ---
# IrOsS2Cl

An optimized crystal structure of IrOsS2Cl (PBE, Alexandria).

POSCAR file:
```
IrOsS2Cl
1.0
4.5333 0.0000 0.0000
0.0000 4.5333 0.0000
0.0000 0.0000 4.8118
Ir Os S Cl
1 1 2 1
Direct
0.0000 0.0000 0.0000
0.5000 0.5000 0.5000
0.0000 0.5000 0.5000
0.5000 0.0000 0.5000
0.5000 0.5000 0.0000
```

size of the total moment = 0.394 μB/atom
crystal system = tetragonal
DOS at the Fermi energy = 1.34 states/eV per atom

---

--- B ---
# IrOsS2Cl

An optimized crystal structure of IrOsS2Cl (PBE, Alexandria).

POSCAR file:
```
IrOsS2Cl
1.0
4.4656 0.0000 0.0000
0.0000 4.4656 0.0000
0.0000 0.0000 4.4078
Ir Os S Cl
1 1 2 1
Direct
0.0000 0.0000 0.0000
0.5000 0.5000 0.0000
0.0000 0.5000 0.5000
0.5000 0.0000 0.5000
0.5000 0.5000 0.5000
```

size of the total moment = 0.225 μB/atom
crystal system = tetragonal
DOS at the Fermi energy = 1.42 states/eV per atom

---

Of them, A has the highest stability.

---

--- A ---
# PIr2Cl

An optimized crystal structure of PIr2Cl (PBE, Alexandria).

POSCAR file:
```
PIr2Cl
1.0
3.2701 -1.8851 0.0000
3.2701 1.8851 0.0000
-2.1870 0.0000 6.4650
P Ir Cl
1 2 1
Direct
0.0000 0.0000 0.0000
0.3782 0.3782 0.1346
0.6218 0.6218 0.8654
0.5000 0.5000 0.5000
```

size of the total moment = 0.000 μB/atom
crystal system = monoclinic
DOS at the Fermi energy = 1.00 states/eV per atom

---

--- B ---
# PIr2Cl

An optimized crystal structure of PIr2Cl (PBE, Alexandria).

POSCAR file:
```
PIr2Cl
1.0
1.4920 0.8614 9.6517
-1.4920 0.8614 9.6517
0.0000 -1.7228 9.6517
P Ir Cl
1 2 1
Direct
0.0000 0.0000 0.0000
0.2780 0.2780 0.2780
0.5342 0.5342 0.5342
0.8033 0.8033 0.8033
```

size of the total moment = 0.109 μB/atom
crystal system = trigonal
DOS at the Fermi energy = 1.01 states/eV per atom

---

Of them, A has the highest stability.

---

--- A ---
# PIr2Cl

An optimized crystal structure of PIr2Cl (PBE, Alexandria).

POSCAR file:
```
PIr2Cl
1.0
-1.7744 1.7744 4.7775
1.7744 -1.7744 4.7775
1.7744 1.7744 -4.7775
P Ir Cl
1 2 1
Direct
0.0000 0.0000 0.0000
0.5000 0.5000 0.0000
0.7500 0.2500 0.5000
0.2500 0.7500 0.5000
```

size of the total moment = 0.000 μB/atom
crystal system = tetragonal
DOS at the Fermi energy = 0.70 states/eV per atom

---

--- B ---
# PIr2Cl

An optimized crystal structure of PIr2Cl (PBE, Alexandria).

POSCAR file:
```
PIr2Cl
1.0
-1.4381 2.8636 4.0174
1.4381 -2.8636 4.0174
1.4381 2.8636 -4.0174
P Ir Cl
1 2 1
Direct
0.0000 0.0000 0.0000
0.2192 0.7192 0.5000
0.7808 0.2808 0.5000
0.5000 0.5000 0.0000
```

size of the total moment = 0.000 μB/atom
crystal system = orthorhombic
DOS at the Fermi energy = 0.52 states/eV per atom

---

Of them, B has the highest stability.

---

--- A ---
# PIr2Cl

An optimized crystal structure of PIr2Cl (PBE, Alexandria).

POSCAR file:
```
PIr2Cl
1.0
-2.9152 2.9152 4.5415
2.9152 -2.9152 4.5415
2.9152 2.9152 -4.5415
P Ir Cl
2 4 2
Direct
0.0000 0.0000 0.0000
0.7500 0.2500 0.5000
0.0863 0.6250 0.9613
0.3750 0.3363 0.4613
0.6637 0.1250 0.0387
0.8750 0.9137 0.5387
0.2500 0.7500 0.5000
0.5000 0.5000 0.0000
```

size of the total moment = 0.000 μB/atom
crystal system = tetragonal
DOS at the Fermi energy = 0.57 states/eV per atom

---

--- B ---
# PIr2Cl

An optimized crystal structure of PIr2Cl (PBE, Alexandria).

POSCAR file:
```
PIr2Cl
1.0
0.0000 3.0698 3.0698
3.0698 0.0000 3.0698
3.0698 3.0698 0.0000
P Ir Cl
1 2 1
Direct
0.0000 0.0000 0.0000
0.2500 0.2500 0.2500
0.7500 0.7500 0.7500
0.5000 0.5000 0.5000
```

size of the total moment = 0.000 μB/atom
crystal system = cubic
DOS at the Fermi energy = 1.56 states/eV per atom

---

Of them, A has the highest stability.